Entry 1:
An optimized crystal structure of HoNi4Ag, computed with PBE.

## Properties
DFT total energy	-5.258	eV/atom

Structure (POSCAR):
```
HoNi4Ag
1.0
0.000 3.477 3.477
3.477 0.000 3.477
3.477 3.477 0.000
Ni Ho Ag
4 1 1
direct
0.874 0.375 0.375
0.375 0.375 0.375
0.375 0.375 0.874
0.375 0.874 0.375
0.000 0.000 0.000
0.750 0.750 0.750
```

Entry 2:
An optimized crystal structure of HoSi2NiAg, computed with PBE.

## Properties
DFT total energy	-5.306	eV/atom

Structure (POSCAR):
```
HoSi2NiAg
1.0
-4.322 -3.911 0.042
-5.439 1.523 1.441
4.319 1.785 -3.484
Si Ni Ag Ho
2 1 1 1
direct
0.636 0.136 0.500
0.864 0.364 0.500
0.500 0.500 0.000
0.000 0.000 0.000
0.250 0.750 0.500
```

Entry 3:
An optimized crystal structure of HoNpAg, computed with PBE.

## Properties
DFT total energy	-5.786	eV/atom

Structure (POSCAR):
```
HoNpAg
1.0
0.209 -4.359 -2.095
-3.982 -1.940 -1.955
-0.389 -0.395 -4.809
Ho Np Ag
1 1 1
direct
0.000 0.000 0.000
0.750 0.750 0.750
0.250 0.250 0.250
```